DFT (GGA-PBE) results for a geometry-optimized TbBe2AlAu4 structure.

## Properties
Mass density in g cm⁻³: 11.89
Energy of formation from the pure elements in eV per atom: -0.346

Geometry as CIF:
```
data_TbBe2AlAu4
_chemical_formula_sum 'Tb3 Be6 Al3 Au12'
_cell_length_a 4.2198
_cell_length_b 4.2198
_cell_length_c 26.9364
_cell_angle_alpha 90.00
_cell_angle_beta 90.00
_cell_angle_gamma 120.00
_space_group_name_H-M_alt 'R -3 m'
_space_group_IT_number 166
_space_group_name_Hall '-R 3 2"'
loop_
_atom_site_label
_atom_site_type_symbol
_atom_site_fract_x
_atom_site_fract_y
_atom_site_fract_z
Tb1 Tb 0.0000 0.0000 0.0000
Be1 Be 0.0000 0.0000 0.2463
Al1 Al 0.0000 0.0000 0.5000
Au1 Au 0.0000 0.0000 0.1280
Au2 Au 0.0000 0.0000 0.3999
```

DFT (GGA-PBE) results for a geometry-optimized RbCaSn2 structure.

## Properties
Offset from the most stable computed form in eV/f.u.: 0.48
Mass density in g cm⁻³: 3.19
Energy of formation from the pure elements in eV per atom: -0.025

Geometry as CIF:
```
data_RbCaSn2
_chemical_formula_sum 'Rb4 Ca4 Sn8'
_cell_length_a 5.8828
_cell_length_b 5.8828
_cell_length_c 21.8621
_cell_angle_alpha 90.00
_cell_angle_beta 90.00
_cell_angle_gamma 90.00
_space_group_name_H-M_alt 'I -4 2 d'
_space_group_IT_number 122
_space_group_name_Hall 'I -4 2bw'
loop_
_atom_site_label
_atom_site_type_symbol
_atom_site_fract_x
_atom_site_fract_y
_atom_site_fract_z
Rb1 Rb 0.0000 0.0000 0.0000
Ca1 Ca 0.0000 0.0000 0.5000
Sn1 Sn 0.0499 0.2500 0.6250
```

DFT (GGA-PBE) results for a geometry-optimized Sc2CuBr2 structure.

## Properties
Offset from the most stable computed form in eV/f.u.: 0.00
ΔE_f (raw) in meV/atom: -315.2
Mass density in g cm⁻³: 5.10

Geometry as CIF:
```
data_Sc2CuBr2
_chemical_formula_sum 'Sc4 Cu2 Br4'
_cell_length_a 7.8938
_cell_length_b 7.8938
_cell_length_c 3.2724
_cell_angle_alpha 90.00
_cell_angle_beta 90.00
_cell_angle_gamma 90.00
_space_group_name_H-M_alt 'P 4/m b m'
_space_group_IT_number 127
_space_group_name_Hall '-P 4 2ab'
loop_
_atom_site_label
_atom_site_type_symbol
_atom_site_fract_x
_atom_site_fract_y
_atom_site_fract_z
Sc1 Sc 0.1614 0.3386 0.0000
Cu1 Cu 0.0000 0.0000 0.5000
Br1 Br 0.1378 0.6378 0.5000
```

DFT (GGA-PBE) results for a geometry-optimized BaPtI4 structure.

## Properties
ΔE_f (raw) in meV/atom: -910.1
Mass density in g cm⁻³: 4.90

Geometry as CIF:
```
data_BaPtI4
_chemical_formula_sum 'Ba2 Pt2 I8'
_cell_length_a 8.0298
_cell_length_b 8.0298
_cell_length_c 8.8378
_cell_angle_alpha 90.00
_cell_angle_beta 90.00
_cell_angle_gamma 90.00
_space_group_name_H-M_alt 'I -4'
_space_group_IT_number 82
loop_
_space_group_symop_operation_xyz
'x,y,z'
'y,-x,-z'
'-x,-y,z'
'-y,x,-z'
'x+1/2,y+1/2,z+1/2'
'y+1/2,-x+1/2,-z+1/2'
'-x+1/2,-y+1/2,z+1/2'
'-y+1/2,x+1/2,-z+1/2'
loop_
_atom_site_label
_atom_site_type_symbol
_atom_site_fract_x
_atom_site_fract_y
_atom_site_fract_z
Ba1 Ba 0.0000 0.0000 0.0000
Pt1 Pt 0.0000 0.5000 0.7500
I1 I 0.2311 0.2669 0.7488
```